First-principles (PBE-GGA) data for a geometry-optimized Ba2PIrSe structure, as listed in Alexandria.

The structure in extended XYZ format:
```
5
Lattice="6.151 0.000 0.000 0.000 6.151 0.000 0.000 0.000 4.377" Properties=species:S:1:pos:R:3 pbc="T T T"
Ba 0.000 3.076 0.000
Ba 3.076 0.000 0.000
P 0.000 0.000 2.188
Ir 0.000 0.000 0.000
Se 3.076 3.076 2.188
```

Calculated values
As for the density of states at the Fermi level: 0.289 states/eV/atom. Its magnetization is 0.000 μB/atom. The formation energy from raw total energies is -0.98 eV/atom.

=====

First-principles (PBE-GGA) data for a geometry-optimized ThTeAs structure, as listed in Alexandria.

The structure in extended XYZ format:
```
3
Lattice="0.000 3.632 3.632 3.632 0.000 3.632 3.632 3.632 0.000" Properties=species:S:1:pos:R:3 pbc="T T T"
Th 0.000 0.000 0.000
Te 5.447 5.447 5.447
As 1.816 1.816 1.816
```

Calculated values
As for the density of states at the Fermi level: 1.203 states/eV/atom. Its magnetization is 0.000 μB/atom. The formation energy from raw total energies is -0.74 eV/atom.

=====

Question: Which formula does entry 2 have?
Answer: ThTeAs